(1)
Material: K2BaSe
Method: DFT, SCAN
State: PBEsol geometry

a = 8.0941 Å, b = 4.6695 Å, c = 11.9648 Å
α = 90.00°, β = 102.49°, γ = 90.00°
Element x y z (fractional)
K (0.0000, 0.0000, 0.0000)
K (0.2112, 0.0000, 0.6474)
K (0.5000, 0.5000, 0.0000)
K (0.7112, 0.5000, 0.6474)
Ba (0.4303, 0.0000, 0.3035)
Ba (0.9303, 0.5000, 0.3035)
Se (0.2193, 0.5000, 0.1653)
Se (0.7193, 0.0000, 0.1653)

Its density of states at the Fermi level is 2.14 states/eV/f.u. Its crystal system is monoclinic. For the formation energy without anion corrections, the calculation gives -0.998 eV/atom. The space group is Cm, No. 8.

(2)
Material: K2BaSe
Method: DFT, SCAN
State: PBEsol geometry

a = 4.9315 Å, b = 4.9315 Å, c = 6.6216 Å
α = 90.00°, β = 90.00°, γ = 90.00°
Element x y z (fractional)
K (0.0000, 0.5000, 0.0000)
K (0.5000, 0.0000, 0.0000)
Ba (0.0000, 0.0000, 0.5000)
Se (0.5000, 0.5000, 0.5000)

Its density of states at the Fermi level is 1.22 states/eV/f.u. Its crystal system is tetragonal. For the formation energy without anion corrections, the calculation gives -0.719 eV/atom. The space group is P4/mmm, No. 123.

(3)
Material: KBa4Se
Method: DFT, SCAN
State: PBEsol geometry

a = 7.4882 Å, b = 7.4882 Å, c = 7.4882 Å
α = 60.00°, β = 60.00°, γ = 60.00°
Element x y z (fractional)
K (0.0000, 0.0000, 0.0000)
Ba (0.1300, 0.6233, 0.6233)
Ba (0.6233, 0.1300, 0.6233)
Ba (0.6233, 0.6233, 0.1300)
Ba (0.6233, 0.6233, 0.6233)
Se (0.2500, 0.2500, 0.2500)

Its density of states at the Fermi level is 7.45 states/eV/f.u. Its crystal system is cubic. For the formation energy without anion corrections, the calculation gives 0.132 eV/atom. The space group is F-43m, No. 216.

(4)
Material: KBa2Se2
Method: DFT, SCAN
State: PBEsol geometry

a = 6.2251 Å, b = 6.2251 Å, c = 15.4150 Å
α = 90.00°, β = 90.00°, γ = 90.00°
Element x y z (fractional)
K (0.0000, 0.0000, 0.0000)
K (0.5000, 0.5000, 0.5000)
Ba (0.0000, 0.5000, 0.2500)
Ba (0.0000, 0.5000, 0.7500)
Ba (0.5000, 0.0000, 0.2500)
Ba (0.5000, 0.0000, 0.7500)
Se (0.0000, 0.0000, 0.2058)
Se (0.0000, 0.0000, 0.7942)
Se (0.5000, 0.5000, 0.2942)
Se (0.5000, 0.5000, 0.7058)

Its density of states at the Fermi level is 2.02 states/eV/f.u. Its crystal system is tetragonal. For the formation energy without anion corrections, the calculation gives -1.543 eV/atom. The space group is I4/mmm, No. 139.

(5)
Material: K2BaSe
Method: DFT, SCAN
State: PBEsol geometry

a = 11.5494 Å, b = 11.5494 Å, c = 6.2753 Å
α = 90.00°, β = 90.00°, γ = 90.00°
Element x y z (fractional)
K (0.1207, 0.2500, 0.1250)
K (0.2500, 0.6207, 0.3750)
K (0.2500, 0.8793, 0.8750)
K (0.3793, 0.2500, 0.6250)
K (0.6207, 0.7500, 0.6250)
K (0.7500, 0.1207, 0.8750)
K (0.7500, 0.3793, 0.3750)
K (0.8793, 0.7500, 0.1250)
Ba (0.0000, 0.0000, 0.5000)
Ba (0.0000, 0.5000, 0.7500)
Ba (0.5000, 0.0000, 0.2500)
Ba (0.5000, 0.5000, 0.0000)
Se (0.0000, 0.0000, 0.0000)
Se (0.0000, 0.5000, 0.2500)
Se (0.5000, 0.0000, 0.7500)
Se (0.5000, 0.5000, 0.5000)

Its density of states at the Fermi level is 1.56 states/eV/f.u. Its crystal system is tetragonal. For the formation energy without anion corrections, the calculation gives -0.816 eV/atom. The space group is I-42d, No. 122.

(6)
Material: K2BaSi
Method: DFT, SCAN
State: PBEsol geometry

a = 8.2113 Å, b = 8.2113 Å, c = 8.2113 Å
α = 90.00°, β = 90.00°, γ = 90.00°
Element x y z (fractional)
K (0.0000, 0.0000, 0.0000)
K (0.0000, 0.5000, 0.5000)
K (0.2500, 0.2500, 0.2500)
K (0.2500, 0.7500, 0.7500)
K (0.5000, 0.0000, 0.5000)
K (0.5000, 0.5000, 0.0000)
K (0.7500, 0.2500, 0.7500)
K (0.7500, 0.7500, 0.2500)
Ba (0.0000, 0.0000, 0.5000)
Ba (0.0000, 0.5000, 0.0000)
Ba (0.5000, 0.0000, 0.0000)
Ba (0.5000, 0.5000, 0.5000)
Si (0.2500, 0.2500, 0.7500)
Si (0.2500, 0.7500, 0.2500)
Si (0.7500, 0.2500, 0.2500)
Si (0.7500, 0.7500, 0.7500)

Its crystal system is cubic. For the formation energy without anion corrections, the calculation gives 0.031 eV/atom. The space group is F-43m, No. 216.

(7)
Material: KBaSi3
Method: DFT, SCAN
State: PBEsol geometry

a = 5.7381 Å, b = 5.7381 Å, c = 5.7381 Å
α = 90.00°, β = 90.00°, γ = 90.00°
Element x y z (fractional)
K (0.0000, 0.0000, 0.0000)
Ba (0.5000, 0.5000, 0.5000)
Si (0.0000, 0.5000, 0.5000)
Si (0.5000, 0.0000, 0.5000)
Si (0.5000, 0.5000, 0.0000)

Its density of states at the Fermi level is 3.76 states/eV/f.u. Its crystal system is cubic. For the formation energy without anion corrections, the calculation gives 1.398 eV/atom. The space group is Pm-3m, No. 221.

(8)
Material: K4BaSi
Method: DFT, SCAN
State: PBEsol geometry

a = 7.3098 Å, b = 7.3098 Å, c = 7.3098 Å
α = 60.00°, β = 60.00°, γ = 60.00°
Element x y z (fractional)
K (0.1219, 0.1219, 0.1219)
K (0.1219, 0.1219, 0.6343)
K (0.1219, 0.6343, 0.1219)
K (0.6343, 0.1219, 0.1219)
Ba (0.5000, 0.5000, 0.5000)
Si (0.7500, 0.7500, 0.7500)

Its density of states at the Fermi level is 1.65 states/eV/f.u. Its crystal system is cubic. For the formation energy without anion corrections, the calculation gives 0.501 eV/atom. The space group is F-43m, No. 216.

no.,ρ (g/cm³),M_tot (μB per formula unit)
1,2.22,0.40
2,3.04,0.00
3,3.73,0.01
4,2.62,0.11
5,2.34,0.01
6,2.92,0.00
7,2.29,0.00
8,1.93,0.00